(1)
DFT (PBE-GGA) results for a relaxed structure of CeCdS2.

CIF file:
```
data_CeCdS2
_symmetry_space_group_name_H-M 'R -3 m'
_symmetry_Int_Tables_number 166
_symmetry_space_group_name_Hall '-R 3 2"'
_cell_length_a 4.0868
_cell_length_b 4.0868
_cell_length_c 25.4916
_cell_angle_alpha 90.00
_cell_angle_beta 90.00
_cell_angle_gamma 120.00
loop_
_atom_site_label
_atom_site_type_symbol
_atom_site_fract_x
_atom_site_fract_y
_atom_site_fract_z
Ce1 Ce 0.0000 0.0000 0.0000
Cd1 Cd 0.0000 0.0000 0.5000
S1 S 0.0000 0.0000 0.3906
```

Values from the calculation:
Formation energy (no corrections) in meV per atom: -1166
Crystal system: trigonal

(2)
DFT (PBE-GGA) results for a relaxed structure of Ce2CdS4.

CIF file:
```
data_Ce2CdS4
_symmetry_space_group_name_H-M 'P b a m'
_symmetry_Int_Tables_number 55
_cell_length_a 7.1015
_cell_length_b 11.1343
_cell_length_c 4.2100
_cell_angle_alpha 90.00
_cell_angle_beta 90.00
_cell_angle_gamma 90.00
loop_
_symmetry_equiv_pos_as_xyz
'x,y,z'
'-x,-y,-z'
'-x,-y,z'
'x,y,-z'
'x+1/2,-y+1/2,-z'
'-x+1/2,y+1/2,z'
'-x+1/2,y+1/2,-z'
'x+1/2,-y+1/2,z'
loop_
_atom_site_label
_atom_site_type_symbol
_atom_site_fract_x
_atom_site_fract_y
_atom_site_fract_z
Ce1 Ce 0.1026 0.1817 0.0000
Cd1 Cd 0.0000 0.5000 0.5000
S1 S 0.1232 0.7170 0.5000
S2 S 0.2436 0.9462 0.0000
```

Values from the calculation:
Formation energy (no corrections) in meV per atom: -1521
Relative energy among the computed polymorphs in meV per atom: 0
Crystal system: orthorhombic

Record-wise DOS at the Fermi energy values, in states/eV/atom: 1.34 1.75
Record-wise raw total energy values, in eV/atom: -4.94 -5.71